Record 1
9
Lattice="4.218 0.000 0.000 0.000 4.218 0.000 0.000 0.000 7.220" Properties=species:S:1:pos:R:3 comment="TbZnSi2Ni5 PBE-GGA relaxed" e_form_raw_kj_per_mol_fu=-201 crystal_system=tetragonal pbc="T T T"
Tb 0.000 0.000 3.610
Zn 0.000 0.000 0.000
Si 2.109 2.109 1.155
Si 2.109 2.109 6.065
Ni 0.000 2.109 1.857
Ni 2.109 0.000 1.857
Ni 0.000 2.109 5.363
Ni 2.109 0.000 5.363
Ni 2.109 2.109 3.610

***

Record 2
16
Lattice="-3.072 1.027 -3.704 -2.091 -4.425 0.507 -13.091 7.672 12.986" Properties=species:S:1:pos:R:3 comment="Sm12ZrIn3 PBE-GGA relaxed" crystal_system=tetragonal formation_enthalpy_0k_ev_per_atom=-0.1747 pbc="T T T"
Sm -2.581 -1.699 -1.598
Sm -5.869 0.228 1.663
Sm -9.127 2.137 4.895
Sm -12.385 4.046 8.126
Sm -3.162 1.466 -0.239
Sm -6.447 3.392 3.020
Sm -9.716 5.307 6.263
Sm -13.002 7.233 9.522
Sm -2.671 -1.260 1.866
Sm -5.956 0.665 5.125
Sm -9.225 2.581 8.368
Sm -12.511 4.507 11.627
Zr 0.000 0.000 0.000
In -3.315 1.943 3.288
In -6.546 3.836 6.493
In -9.776 5.729 9.698

***

Record 3
5
Lattice="-1.641 0.999 -4.007 4.605 -0.841 -2.096 -1.229 -4.927 -0.725" Properties=species:S:1:pos:R:3 comment="Sm2ScHgC PBE-GGA relaxed" crystal_system=tetragonal formation_enthalpy_0k_ev_per_atom=-0.3695 pbc="T T T"
Sm -0.615 -2.463 -0.363
Sm 2.303 -0.420 -1.048
Sc -0.821 0.500 -2.004
Hg 0.868 -2.384 -3.414
C 0.000 0.000 0.000

***

Record 4
4
Lattice="3.764 0.000 0.000 0.000 4.645 0.008 0.000 2.299 8.365" Properties=species:S:1:pos:R:3 comment="SrLa2Tc PBE-GGA relaxed" crystal_system=monoclinic formation_enthalpy_0k_ev_per_atom=0.1612 e_above_lowest_polymorph_mev_per_atom=58.4 pbc="T T T"
La 0.000 6.657 7.396
La 1.882 2.032 1.524
Sr 0.000 4.341 4.481
Tc 1.882 4.331 7.531

***

Record 5
4
Lattice="-0.759 -4.035 1.691 2.821 -1.734 2.959 -3.486 1.325 7.431" Properties=species:S:1:pos:R:3 comment="CsNiPb2 PBE-GGA relaxed" crystal_system=trigonal formation_enthalpy_0k_ev_per_atom=-0.0069 e_above_lowest_polymorph_mev_per_atom=0.0 pbc="T T T"
Pb -1.576 -2.937 9.777
Pb 0.153 -1.507 2.304
Cs -0.712 -2.222 6.040
Ni 0.000 0.000 0.000

***

Record 6
4
Lattice="4.684 0.001 0.004 -2.113 3.926 0.000 0.459 0.831 2.417" Properties=species:S:1:pos:R:3 comment="Be2CrIr PBE-GGA relaxed" crystal_system=monoclinic formation_enthalpy_0k_ev_per_atom=-0.0383 pbc="T T T"
Cr -0.827 2.378 1.209
Ir 1.286 1.964 0.002
Be 0.000 0.000 0.000
Be 2.571 0.416 1.211

***

Record 7
4
Lattice="2.889 -0.021 0.000 -0.477 2.850 0.000 0.000 0.000 9.168" Properties=species:S:1:pos:R:3 comment="AlAs2Au PBE-GGA relaxed" crystal_system=orthorhombic formation_enthalpy_0k_ev_per_atom=0.1508 pbc="T T T"
As 0.000 0.000 8.763
As 1.206 1.414 2.527
Au 0.000 0.000 4.889
Al 1.206 1.414 6.741

***

Record 8
7
Lattice="-0.897 4.798 -3.083 -0.194 -3.144 -4.837 -7.793 -1.775 4.911" Properties=species:S:1:pos:R:3 comment="Sr2Tl4In PBE-GGA relaxed" crystal_system=tetragonal formation_enthalpy_0k_ev_per_atom=-0.0153 e_above_lowest_polymorph_mev_per_atom=125.3 pbc="T T T"
Sr -2.648 0.588 -3.720
Sr -6.236 -0.709 0.711
Tl -5.947 0.212 -3.344
Tl -2.937 -0.334 0.335
Tl -0.097 -1.572 -2.419
Tl -0.449 2.399 -1.541
In 0.000 0.000 0.000